(1)
A relaxed FeCu2Re crystal, computed with GGA-PBEsol.

Total moment in μB per formula unit: 1.96
E_form in eV/atom: 0.311

abc: 2.4890 4.1754 4.7778
angles: 90.00 101.56 90.00
Space group P2/m (No. 10)
Inequivalent atoms, fractional coordinates:
Fe  0.0000  0.0000  0.0000
Cu  0.1794  0.5000  0.7572
Re  0.5000  0.0000  0.5000


(2)
A relaxed FeCu2Re crystal, computed with GGA-PBEsol.

Total moment in μB per formula unit: 2.64
E_form in eV/atom: 0.308

abc: 5.0875 7.7196 2.5009
angles: 90.00 90.00 90.00
Space group Cmmm (No. 65)
Inequivalent atoms, fractional coordinates:
Fe  0.0000  0.0000  0.0000
Cu  0.2500  0.2500  0.5000
Re  0.0000  0.5000  0.0000


(3)
A relaxed FeCu2Rh crystal, computed with GGA-PBEsol.

Total moment in μB per formula unit: 3.58
E_form in eV/atom: 0.114

abc: 5.7925 5.7925 5.7925
angles: 90.00 90.00 90.00
Space group F-43m (No. 216)
Inequivalent atoms, fractional coordinates:
Fe  0.0000  0.0000  0.0000
Cu  0.0000  0.0000  0.5000
Cu  0.2500  0.2500  0.2500
Rh  0.2500  0.2500  0.7500


(4)
A relaxed Fe2CuRh crystal, computed with GGA-PBEsol.

Total moment in μB per formula unit: 5.62
E_form in eV/atom: 0.074

abc: 5.0906 7.2526 2.5934
angles: 90.00 90.00 90.00
Space group Cmmm (No. 65)
Inequivalent atoms, fractional coordinates:
Fe  0.2500  0.2500  0.0000
Cu  0.0000  0.0000  0.5000
Rh  0.0000  0.5000  0.5000


(5)
A relaxed Fe2CuRh crystal, computed with GGA-PBEsol.

Total moment in μB per formula unit: 5.74
E_form in eV/atom: 0.155

abc: 2.7968 4.2150 8.2082
angles: 90.00 90.00 90.00
Space group Cmm2 (No. 35)
Inequivalent atoms, fractional coordinates:
Fe  0.0000  0.0000  0.0000
Fe  0.0000  0.5000  0.2353
Cu  0.0000  0.0000  0.4810
Rh  0.0000  0.5000  0.7448


(6)
A relaxed FeCu2Rh crystal, computed with GGA-PBEsol.

Total moment in μB per formula unit: 2.72
E_form in eV/atom: 0.138

abc: 2.5701 2.5701 25.2550
angles: 90.00 90.00 120.00
Space group R-3m (No. 166, hexagonal axes)
Inequivalent atoms, fractional coordinates:
Fe  0.0000  0.0000  0.0000
Cu  0.0000  0.0000  0.2523
Rh  0.0000  0.0000  0.5000


(7)
A relaxed FeCu2Rh crystal, computed with GGA-PBEsol.

Total moment in μB per formula unit: 3.57
E_form in eV/atom: 0.077

abc: 3.5553 3.5669 7.5880
angles: 90.00 90.00 90.00
Space group Immm (No. 71)
Inequivalent atoms, fractional coordinates:
Fe  0.0000  0.0000  0.0000
Cu  0.0000  0.5000  0.2501
Rh  0.0000  0.0000  0.5000


(8)
A relaxed FeCu2Rh crystal, computed with GGA-PBEsol.

Total moment in μB per formula unit: 2.88
E_form in eV/atom: 0.070

abc: 2.5900 2.5900 24.8829
angles: 90.00 90.00 120.00
Space group R3m (No. 160, hexagonal axes)
Inequivalent atoms, fractional coordinates:
Fe  0.0000  0.0000  0.0000
Cu  0.0000  0.0000  0.4965
Cu  0.0000  0.0000  0.7489
Rh  0.0000  0.0000  0.2504


(9)
A relaxed FeCu2Rh crystal, computed with GGA-PBEsol.

Total moment in μB per formula unit: 3.27
E_form in eV/atom: 0.070

abc: 2.6209 3.5238 5.2003
angles: 90.00 90.00 90.00
Space group Pmm2 (No. 25)
Inequivalent atoms, fractional coordinates:
Fe  0.0000  0.0000  0.0000
Cu  0.0000  0.0000  0.5131
Cu  0.5000  0.5000  0.7445
Rh  0.5000  0.5000  0.2429


(10)
A relaxed FeCu2Rh crystal, computed with GGA-PBEsol.

Total moment in μB per formula unit: 3.10
E_form in eV/atom: 0.101

abc: 8.4468 2.6362 4.4080
angles: 90.00 101.47 90.00
Space group Cm (No. 8)
Inequivalent atoms, fractional coordinates:
Fe  0.0000  0.0000  0.0000
Cu  0.0035  0.5000  0.5074
Cu  0.2514  0.0000  0.7304
Rh  0.2506  0.5000  0.2280